! Ac2TbPd4Pb3, relaxed, DFT PBE; values from VASP
&SYSTEM
  ibrav = 0, nat = 10, ntyp = 4
/
ATOMIC_SPECIES
Ac 227.00 Ac.upf
Pd 106.42 Pd.upf
Pb 207.20 Pb.upf
Tb 158.93 Tb.upf
ATOMIC_POSITIONS angstrom
Ac -1.094 1.223 3.086
Ac 0.573 -2.906 8.661
Pd 0.050 0.630 7.640
Pd 0.000 0.000 0.000
Pd -0.571 -2.313 4.108
Pd -3.275 -0.256 0.790
Pb -1.225 -1.974 1.506
Pb 0.704 0.291 10.241
Pb 1.377 -0.713 5.479
Tb -1.898 -0.970 6.269
CELL_PARAMETERS angstrom
-3.422 3.086 1.262
-3.127 -3.598 0.317
2.754 -1.427 10.958
! ΔE_f = -629 meV per atom
! Mass density = 10.61 Mg/m³